# 1
An optimized crystal structure of Th3In4Au2. Source: the Alexandria database, functional PBE. Values from VASP.

Cell and atoms, written as Quantum ESPRESSO input:
```
&SYSTEM
  ibrav = 0, nat = 9, ntyp = 3
/
ATOMIC_SPECIES
Th 232.04 Th.upf
In 114.82 In.upf
Au 196.97 Au.upf
CELL_PARAMETERS angstrom
5.709 -2.443 0.000
5.709 2.443 0.000
-4.195 0.000 8.303
ATOMIC_POSITIONS crystal
Th 0.000 0.000 0.000
Th 0.322 0.322 0.348
Th 0.678 0.678 0.652
In 0.031 0.031 0.365
In 0.274 0.274 0.935
In 0.726 0.726 0.065
In 0.969 0.969 0.635
Au 0.388 0.388 0.718
Au 0.612 0.612 0.282
```

Crystal system: monoclinic

***

# 2
An optimized crystal structure of Th3In2Au4. Source: the Alexandria database, functional PBE. Values from VASP.

Cell and atoms, written as Quantum ESPRESSO input:
```
&SYSTEM
  ibrav = 0, nat = 9, ntyp = 3
/
ATOMIC_SPECIES
Th 232.04 Th.upf
In 114.82 In.upf
Au 196.97 Au.upf
CELL_PARAMETERS angstrom
5.563 -2.423 0.000
5.563 2.423 0.000
-4.417 0.000 8.048
ATOMIC_POSITIONS crystal
Th 0.000 0.000 0.000
Th 0.344 0.344 0.322
Th 0.656 0.656 0.678
In 0.375 0.375 0.710
In 0.625 0.625 0.290
Au 0.079 0.079 0.413
Au 0.296 0.296 0.959
Au 0.704 0.704 0.041
Au 0.921 0.921 0.587
```

Crystal system: monoclinic

***

# 3
An optimized crystal structure of Th2InAu3. Source: the Alexandria database, functional PBE. Values from VASP.

Cell and atoms, written as Quantum ESPRESSO input:
```
&SYSTEM
  ibrav = 0, nat = 6, ntyp = 3
/
ATOMIC_SPECIES
Th 232.04 Th.upf
In 114.82 In.upf
Au 196.97 Au.upf
CELL_PARAMETERS angstrom
-1.824 2.330 9.072
1.824 -2.330 9.072
1.824 2.330 -9.072
ATOMIC_POSITIONS crystal
Th 0.000 0.000 0.000
Th 0.715 0.215 0.500
In 0.405 0.405 0.000
Au 0.144 0.644 0.500
Au 0.295 0.795 0.500
Au 0.562 0.562 0.000
```

Crystal system: orthorhombic

***

# 4
An optimized crystal structure of Th2InAu6. Source: the Alexandria database, functional PBE. Values from VASP.

Cell and atoms, written as Quantum ESPRESSO input:
```
&SYSTEM
  ibrav = 0, nat = 9, ntyp = 3
/
ATOMIC_SPECIES
Th 232.04 Th.upf
In 114.82 In.upf
Au 196.97 Au.upf
CELL_PARAMETERS angstrom
6.554 0.000 0.000
-3.277 5.676 0.000
0.000 0.000 5.445
ATOMIC_POSITIONS crystal
Th 0.333 0.667 0.325
Th 0.667 0.333 0.675
In 0.000 0.000 0.500
Au 0.188 0.376 0.821
Au 0.188 0.812 0.821
Au 0.376 0.188 0.179
Au 0.624 0.812 0.821
Au 0.812 0.188 0.179
Au 0.812 0.624 0.179
```

Offset from the most stable computed form: 0.0 meV per atom
Crystal system: trigonal

***

# 5
An optimized crystal structure of ThInAu3. Source: the Alexandria database, functional PBE. Values from VASP.

Cell and atoms, written as Quantum ESPRESSO input:
```
&SYSTEM
  ibrav = 0, nat = 10, ntyp = 3
/
ATOMIC_SPECIES
Th 232.04 Th.upf
In 114.82 In.upf
Au 196.97 Au.upf
CELL_PARAMETERS angstrom
9.414 -2.395 0.000
9.414 2.395 0.000
-0.009 0.000 5.224
ATOMIC_POSITIONS crystal
Th 0.108 0.108 0.498
Th 0.892 0.892 0.502
In 0.367 0.367 0.002
In 0.633 0.633 0.998
Au 0.204 0.204 0.999
Au 0.292 0.292 0.501
Au 0.500 0.500 0.251
Au 0.500 0.500 0.749
Au 0.708 0.708 0.499
Au 0.796 0.796 0.001
```

Offset from the most stable computed form: 94.6 meV per atom
Crystal system: monoclinic

***

# 6
An optimized crystal structure of Th2In3Au2. Source: the Alexandria database, functional PBE. Values from VASP.

Cell and atoms, written as Quantum ESPRESSO input:
```
&SYSTEM
  ibrav = 0, nat = 7, ntyp = 3
/
ATOMIC_SPECIES
Th 232.04 Th.upf
In 114.82 In.upf
Au 196.97 Au.upf
CELL_PARAMETERS angstrom
2.378 -10.628 0.000
2.378 10.628 0.000
0.000 0.000 3.553
ATOMIC_POSITIONS crystal
Th 0.161 0.839 0.000
Th 0.839 0.161 0.000
In 0.000 0.000 0.000
In 0.427 0.573 0.500
In 0.573 0.427 0.500
Au 0.288 0.712 0.500
Au 0.712 0.288 0.500
```

Crystal system: orthorhombic

***

# 7
An optimized crystal structure of ThTlInAu. Source: the Alexandria database, functional PBE. Values from VASP.

Cell and atoms, written as Quantum ESPRESSO input:
```
&SYSTEM
  ibrav = 0, nat = 4, ntyp = 4
/
ATOMIC_SPECIES
Th 232.04 Th.upf
Tl 204.38 Tl.upf
In 114.82 In.upf
Au 196.97 Au.upf
CELL_PARAMETERS angstrom
0.000 3.698 3.698
3.698 0.000 3.698
3.698 3.698 0.000
ATOMIC_POSITIONS crystal
Th 0.000 0.000 0.000
Tl 0.250 0.250 0.250
In 0.500 0.500 0.500
Au 0.750 0.750 0.750
```

Crystal system: cubic

***

# 8
An optimized crystal structure of TmThInAu. Source: the Alexandria database, functional PBE. Values from VASP.

Cell and atoms, written as Quantum ESPRESSO input:
```
&SYSTEM
  ibrav = 0, nat = 4, ntyp = 4
/
ATOMIC_SPECIES
Tm 168.93 Tm.upf
Th 232.04 Th.upf
In 114.82 In.upf
Au 196.97 Au.upf
CELL_PARAMETERS angstrom
0.000 3.741 3.741
3.741 0.000 3.741
3.741 3.741 0.000
ATOMIC_POSITIONS crystal
Tm 0.000 0.000 0.000
Th 0.500 0.500 0.500
In 0.750 0.750 0.750
Au 0.250 0.250 0.250
```

Crystal system: cubic

***

# 9
An optimized crystal structure of YThInAu. Source: the Alexandria database, functional PBE. Values from VASP.

Cell and atoms, written as Quantum ESPRESSO input:
```
&SYSTEM
  ibrav = 0, nat = 4, ntyp = 4
/
ATOMIC_SPECIES
Y 88.91 Y.upf
Th 232.04 Th.upf
In 114.82 In.upf
Au 196.97 Au.upf
CELL_PARAMETERS angstrom
0.000 3.764 3.764
3.764 0.000 3.764
3.764 3.764 0.000
ATOMIC_POSITIONS crystal
Y 0.000 0.000 0.000
Th 0.500 0.500 0.500
In 0.750 0.750 0.750
Au 0.250 0.250 0.250
```

Crystal system: cubic

***

# 10
An optimized crystal structure of ThZn2In2Au2. Source: the Alexandria database, functional PBE. Values from VASP.

Cell and atoms, written as Quantum ESPRESSO input:
```
&SYSTEM
  ibrav = 0, nat = 7, ntyp = 4
/
ATOMIC_SPECIES
Th 232.04 Th.upf
Zn 65.41 Zn.upf
In 114.82 In.upf
Au 196.97 Au.upf
CELL_PARAMETERS angstrom
2.271 1.311 8.745
-2.271 1.311 8.745
0.000 -2.622 8.745
ATOMIC_POSITIONS crystal
Th 0.000 0.000 0.000
Zn 0.251 0.251 0.251
Zn 0.749 0.749 0.749
In 0.135 0.135 0.135
In 0.865 0.865 0.865
Au 0.398 0.398 0.398
Au 0.602 0.602 0.602
```

Crystal system: trigonal

***

# 11
An optimized crystal structure of ThZrInAu. Source: the Alexandria database, functional PBE. Values from VASP.

Cell and atoms, written as Quantum ESPRESSO input:
```
&SYSTEM
  ibrav = 0, nat = 4, ntyp = 4
/
ATOMIC_SPECIES
Th 232.04 Th.upf
Zr 91.22 Zr.upf
In 114.82 In.upf
Au 196.97 Au.upf
CELL_PARAMETERS angstrom
3.332 0.000 0.000
0.000 3.332 0.000
0.000 0.000 8.557
ATOMIC_POSITIONS crystal
Th 0.000 0.000 0.000
Zr 0.000 0.000 0.471
In 0.500 0.500 0.714
Au 0.500 0.500 0.256
```

Offset from the most stable computed form: 0.0 meV per atom
Crystal system: tetragonal

***

# 12
An optimized crystal structure of ThZrInAu. Source: the Alexandria database, functional PBE. Values from VASP.

Cell and atoms, written as Quantum ESPRESSO input:
```
&SYSTEM
  ibrav = 0, nat = 4, ntyp = 4
/
ATOMIC_SPECIES
Th 232.04 Th.upf
Zr 91.22 Zr.upf
In 114.82 In.upf
Au 196.97 Au.upf
CELL_PARAMETERS angstrom
0.000 3.672 3.672
3.672 0.000 3.672
3.672 3.672 0.000
ATOMIC_POSITIONS crystal
Th 0.000 0.000 0.000
Zr 0.500 0.500 0.500
In 0.250 0.250 0.250
Au 0.750 0.750 0.750
```

Offset from the most stable computed form: 145.3 meV per atom
Crystal system: cubic

***

Density of states at the Fermi level for every record listed, in sequence, given in states/eV per atom: 0.832, 0.736, 0.947, 0.519, 0.518, 0.777, 1.080, 1.060, 0.925, 0.432, 0.908, 1.054.
DFT formation energy for every record listed, in sequence, given in eV/atom: -0.438, -0.598, -0.480, -0.521, -0.400, -0.426, -0.266, -0.444, -0.459, -0.361, -0.404, -0.259.
Final energy for every record listed, in sequence, given in eV/atom: -4.857, -5.136, -5.049, -4.659, -4.398, -4.656, -4.217, -4.921, -5.434, -3.504, -5.900, -5.755.